Here is a geometry-optimized K3HfBrF6 structure from the Open Quantum Materials Database. Energies are from GGA-PBE.

Lattice parameters (Å, degrees): 8.0212 8.0212 5.9122 90.00 90.00 90.00
Sites, in units of the cell vectors:
K  0.0000  0.0000  0.0000
K  0.1768  0.3232  0.5000
K  0.3232  0.8232  0.5000
K  0.5000  0.5000  0.0000
K  0.6768  0.1768  0.5000
K  0.8232  0.6768  0.5000
Hf  0.0000  0.5000  0.0000
Hf  0.5000  0.0000  0.0000
Br  0.0000  0.0000  0.5000
Br  0.5000  0.5000  0.5000
F  0.1197  0.6197  0.2485
F  0.1197  0.6197  0.7515
F  0.1758  0.3242  0.0000
F  0.3242  0.8242  0.0000
F  0.3803  0.1197  0.2485
F  0.3803  0.1197  0.7515
F  0.6197  0.8803  0.2485
F  0.6197  0.8803  0.7515
F  0.6758  0.1758  0.0000
F  0.8242  0.6758  0.0000
F  0.8803  0.3803  0.2485
F  0.8803  0.3803  0.7515

DFT total energy: -119.71 eV per cell
Spin magnetization: 0.00 μB/f.u.
V: 380.4 Å³ per cell